The following is a DFT calculation (PBE+U) of an optimized crystal structure of MgFeNF2.

a = 3.6666 Å, b = 3.6666 Å, c = 4.5798 Å
α = 90.00°, β = 90.00°, γ = 90.00°
Closest atoms and distances in Å follow each position.
Element x y z (fractional)
Mg1 0.0000 0.0000 0.0000  4 F 1.83
Fe1 0.5000 0.5000 0.5000  4 N 2.59
N1 0.0000 0.0000 0.5000  2 Mg 2.29
F1 0.0000 0.5000 0.0000  2 Mg 1.83
F2 0.5000 0.0000 0.0000  2 Mg 1.83

Calculated values
- Crystal system: tetragonal
- Symmetry: P4/mmm, No. 123
- Energy: -24.77 eV/cell